No. 1
A relaxed NaCa2Zn crystal. Source: the Alexandria database, functional GGA-PBE.

Unit cell a=8.8383 b=8.8383 c=7.1878 alpha=52.06 beta=52.06 gamma=90.00
With the nearest neighbours (Å) after each atom.
Positions (direct):
Na1 0.5000 0.5000 0.0000  2 Zn 3.55, 8 Ca 3.55-3.89
Na2 0.2500 0.7500 0.5000  2 Zn 3.55, 8 Ca 3.55-3.89
Zn1 0.0000 0.0000 0.0000  4 Ca 2.97
Zn2 0.7500 0.2500 0.5000  4 Ca 2.97
Ca1 0.6736 0.1250 0.2500  2 Zn 2.97
Ca2 0.0764 0.6250 0.2500  2 Zn 2.97
Ca3 0.3750 0.3264 0.7500  2 Zn 2.97
Ca4 0.8750 0.9236 0.7500  2 Zn 2.97

Results
Crystal system   tetragonal
E above lowest polymorph   230 meV per atom
Space-group type   I-42d, No. 122

=====

No. 2
A relaxed Mg2TlGe crystal. Source: the Alexandria database, functional GGA-PBE.

Unit cell a=4.4312 b=4.4312 c=6.3804 alpha=69.68 beta=69.68 gamma=60.00
With the nearest neighbours (Å) after each atom.
Positions (direct):
Mg1 0.0590 0.0590 0.8230  3 Ge 2.75
Mg2 0.2772 0.2772 0.1685  3 Ge 2.75
Tl1 0.4955 0.4955 0.5134  1 Ge 3.03, 6 Mg 3.13-3.26
Ge1 0.6683 0.6683 0.9950  6 Mg 2.75, 1 Tl 3.03

Results
Crystal system   trigonal
Space-group type   R3m, No. 160

=====

No. 3
A relaxed SbOs2Au crystal. Source: the Alexandria database, functional GGA-PBE.

Unit cell a=2.9549 b=4.9282 c=4.7132 alpha=90.00 beta=90.00 gamma=90.00
With the nearest neighbours (Å) after each atom.
Positions (direct):
Au1 0.0000 0.5000 0.5000  4 Os 2.78, 4 Sb 2.87, 2 Au 2.95
Os1 0.0000 0.0000 0.0000  4 Sb 2.78, 6 Os 2.87-2.95
Os2 0.5000 0.5000 0.0000  4 Au 2.78, 6 Os 2.87-2.95
Sb1 0.5000 0.0000 0.5000  4 Os 2.78, 4 Au 2.87, 2 Sb 2.95

Results
Crystal system   orthorhombic
Formation energy from raw total energies   3.3 eV per formula unit
Space-group type   Pmmm, No. 47

=====

No. 4
A relaxed K4AgBr5 crystal. Source: the Alexandria database, functional GGA-PBE.

Unit cell a=6.6513 b=7.9723 c=7.9723 alpha=79.98 beta=65.35 gamma=65.35
With the nearest neighbours (Å) after each atom.
Positions (direct):
K1 0.4028 0.3939 0.7978  6 Br 3.21-3.46
K2 0.7967 0.7978 0.6061  6 Br 3.21-3.46
K3 0.2006 0.2022 0.3939  6 Br 3.21-3.46
K4 0.5945 0.6061 0.2022  6 Br 3.21-3.46
Ag1 0.0544 0.0000 0.0000  5 Br 2.78-3.01
Br1 0.9074 0.3670 0.8126  1 Ag 3.01, 4 K 3.26-3.34
Br2 0.2744 0.8126 0.6330  1 Ag 3.01, 4 K 3.26-3.34
Br3 0.7200 0.1874 0.3670  1 Ag 3.01, 4 K 3.26-3.34
Br4 0.0870 0.6330 0.1874  1 Ag 3.01, 4 K 3.26-3.34
Br5 0.4723 0.0000 0.0000  1 Ag 2.78

Results
Crystal system   tetragonal
Formation energy from raw total energies   -14.4 eV per formula unit
Space-group type   I4, No. 79

=====

No. 5
A relaxed LiMg2Fe crystal. Source: the Alexandria database, functional GGA-PBE.

Unit cell a=3.7306 b=2.9354 c=6.9475 alpha=65.55 beta=90.00 gamma=90.00
With the nearest neighbours (Å) after each atom.
Positions (direct):
Fe1 0.5000 0.2500 0.2500  8 Mg 2.78-2.79, 2 Fe 2.94
Li1 0.5000 0.7500 0.7500  8 Mg 2.91-2.93, 2 Li 2.94, 2 Fe 3.16
Mg1 0.0000 0.9786 0.0199  4 Fe 2.78-2.79, 3 Mg 2.91-2.94, 4 Li 2.91-2.93
Mg2 0.0000 0.5214 0.4801  4 Fe 2.78-2.79, 3 Mg 2.91-2.94, 4 Li 2.91-2.93

Results
Crystal system   monoclinic
Space-group type   P2/m, No. 10

=====

No. 6
A relaxed K2NpRe3O12 crystal. Source: the Alexandria database, functional GGA-PBE.

Unit cell a=7.5096 b=7.5096 c=7.5096 alpha=58.40 beta=58.40 gamma=58.40
With the nearest neighbours (Å) after each atom.
Positions (direct):
K1 0.6428 0.6428 0.6428  3 O 2.96
K2 0.3572 0.3572 0.3572  3 O 2.96
Np1 0.0000 0.0000 0.0000  6 O 2.11
Re1 0.5000 0.0000 0.0000  6 O 1.91-1.97
Re2 0.0000 0.5000 0.0000  6 O 1.91-1.97
Re3 0.0000 0.0000 0.5000  6 O 1.91-1.97
O1 0.3020 0.3020 0.9333  2 Re 1.91
O2 0.9246 0.9246 0.3390  1 Re 1.97, 1 Np 2.11
O3 0.3390 0.9246 0.9246  1 Re 1.97, 1 Np 2.11
O4 0.9333 0.3020 0.3020  2 Re 1.91
O5 0.9246 0.3390 0.9246  1 Re 1.97, 1 Np 2.11
O6 0.3020 0.9333 0.3020  2 Re 1.91
O7 0.6980 0.6980 0.0667  2 Re 1.91
O8 0.0754 0.0754 0.6610  1 Re 1.97, 1 Np 2.11
O9 0.6610 0.0754 0.0754  1 Re 1.97, 1 Np 2.11
O10 0.0667 0.6980 0.6980  2 Re 1.91
O11 0.0754 0.6610 0.0754  1 Re 1.97, 1 Np 2.11
O12 0.6980 0.0667 0.6980  2 Re 1.91

Results
Crystal system   trigonal
Formation energy from raw total energies   -34.4 eV per formula unit
Space-group type   R-3m, No. 166

=====

No. 7
A relaxed Rb3Tl4Au2 crystal. Source: the Alexandria database, functional GGA-PBE.

Unit cell a=5.2540 b=7.3422 c=10.3051 alpha=114.49 beta=90.00 gamma=110.96
With the nearest neighbours (Å) after each atom.
Positions (direct):
Rb1 0.3982 0.7963 0.6379  2 Au 3.71-3.92, 6 Tl 3.87-4.01
Rb2 0.0000 0.0000 0.0000  4 Tl 3.58, 2 Au 3.60
Rb3 0.6018 0.2037 0.3621  2 Au 3.71-3.92, 6 Tl 3.87-4.01
Tl1 0.6881 0.3761 0.0374  3 Au 3.00-3.24, 1 Tl 3.19
Tl2 0.1143 0.2286 0.6450  2 Au 2.96, 2 Tl 3.19-3.23
Tl3 0.8857 0.7714 0.3550  2 Au 2.96, 2 Tl 3.19-3.23
Tl4 0.3119 0.6239 0.9626  3 Au 3.00-3.24, 1 Tl 3.19
Au1 0.2871 0.5743 0.2375  5 Tl 2.96-3.24
Au2 0.7129 0.4257 0.7625  5 Tl 2.96-3.24

Results
Crystal system   monoclinic
E above lowest polymorph   0 meV per atom
Space-group type   C2/m, No. 12

=====

No. 8
A relaxed CaSmThN3 crystal. Source: the Alexandria database, functional GGA-PBE.

Unit cell a=3.5328 b=6.1543 c=9.1786 alpha=77.82 beta=90.00 gamma=90.00
With the nearest neighbours (Å) after each atom.
Positions (direct):
Ca1 0.2500 0.3630 0.6346  5 N 2.37-2.60
Ca2 0.7500 0.6370 0.3654  5 N 2.37-2.60
Sm1 0.2500 0.7246 0.0492  4 N 2.40-2.51
Sm2 0.7500 0.2754 0.9508  4 N 2.40-2.51
Th1 0.7500 0.8609 0.6872  5 N 2.49-2.57
Th2 0.2500 0.1391 0.3128  5 N 2.49-2.57
N1 0.2500 0.7809 0.5015  3 Ca 2.44-2.60, 3 Th 2.50-2.57
N2 0.7500 0.9705 0.1809  1 Ca 2.37, 2 Th 2.49, 1 Sm 2.51
N3 0.7500 0.4658 0.1542  1 Ca 2.39, 3 Sm 2.40-2.44
N4 0.7500 0.2191 0.4985  3 Ca 2.44-2.60, 3 Th 2.50-2.57
N5 0.2500 0.5342 0.8458  1 Ca 2.39, 3 Sm 2.40-2.44
N6 0.2500 0.0295 0.8191  1 Ca 2.37, 2 Th 2.49, 1 Sm 2.51

Results
Crystal system   monoclinic
Formation energy from raw total energies   -7.7 eV per formula unit
Space-group type   P2_1/m, No. 11

=====

No. 9
A relaxed Li2MgTiBi crystal. Source: the Alexandria database, functional GGA-PBE.

Unit cell a=4.6643 b=5.2096 c=4.6643 alpha=90.00 beta=90.00 gamma=90.00
With the nearest neighbours (Å) after each atom.
Positions (direct):
Mg1 0.0000 0.0000 0.0000  4 Li 2.33, 2 Ti 2.60
Li1 0.0000 0.0000 0.5000  2 Mg 2.33
Li2 0.5000 0.0000 0.0000  2 Mg 2.33
Bi1 0.5000 0.5000 0.5000  4 Ti 3.30, 8 Li 3.50
Ti1 0.0000 0.5000 0.0000  2 Mg 2.60

Results
Crystal system   tetragonal
Space-group type   P4/mmm, No. 123

=====

No. 10
A relaxed ReMoHPd2 crystal. Source: the Alexandria database, functional GGA-PBE.

Unit cell a=3.8557 b=4.2366 c=3.8557 alpha=90.00 beta=90.00 gamma=90.00
With the nearest neighbours (Å) after each atom.
Positions (direct):
Re1 0.5000 0.5000 0.5000  4 Mo 2.73, 8 Pd 2.86
Mo1 0.0000 0.5000 0.0000  2 H 2.12
Pd1 0.0000 0.0000 0.5000  2 H 1.93
Pd2 0.5000 0.0000 0.0000  2 H 1.93
H1 0.0000 0.0000 0.0000  4 Pd 1.93, 2 Mo 2.12

Results
Crystal system   tetragonal
Space-group type   P4/mmm, No. 123

=====

No. 11
A relaxed TaBSe2 crystal. Source: the Alexandria database, functional GGA-PBE.

Unit cell a=7.5923 b=7.5923 c=7.5923 alpha=25.65 beta=25.65 gamma=25.65
With the nearest neighbours (Å) after each atom.
Positions (direct):
B1 0.0000 0.0000 0.0000  2 Se 1.91
Se1 0.9134 0.9134 0.9134  1 B 1.91
Se2 0.0866 0.0866 0.0866  1 B 1.91
Ta1 0.5000 0.5000 0.5000  6 Se 2.63

Results
Crystal system   trigonal
Formation energy from raw total energies   1.5 eV per formula unit
Space-group type   R-3m, No. 166

=====

No. 12
A relaxed TbNd6In5 crystal. Source: the Alexandria database, functional GGA-PBE.

Unit cell a=5.0775 b=9.1265 c=9.2784 alpha=119.46 beta=105.88 gamma=90.00
With the nearest neighbours (Å) after each atom.
Positions (direct):
Nd1 0.8292 0.5682 0.6585  7 In 3.35-3.49, 4 Nd 3.52-3.65, 1 Tb 3.54
Nd2 0.8292 0.0903 0.6585  7 In 3.35-3.49, 4 Nd 3.52-3.65, 1 Tb 3.54
Nd3 0.5000 0.7330 0.0000  6 In 3.31-3.40, 2 Tb 3.52, 4 Nd 3.65
Nd4 0.5000 0.2670 0.0000  6 In 3.31-3.40, 2 Tb 3.52, 4 Nd 3.65
Nd5 0.1708 0.9097 0.3415  7 In 3.35-3.49, 4 Nd 3.52-3.65, 1 Tb 3.54
Nd6 0.1708 0.4318 0.3415  7 In 3.35-3.49, 4 Nd 3.52-3.65, 1 Tb 3.54
Tb1 0.0000 0.0000 0.0000  4 In 3.46, 8 Nd 3.52-3.54
In1 0.6528 0.1528 0.3057  8 Nd 3.38-3.49, 2 Tb 3.46, 2 In 3.69
In2 0.3270 0.3270 0.6539  8 Nd 3.35-3.40, 4 In 3.67-3.69
In3 0.0000 0.5000 0.0000  8 Nd 3.31-3.41, 4 In 3.67
In4 0.6730 0.6730 0.3461  8 Nd 3.35-3.40, 4 In 3.67-3.69
In5 0.3472 0.8472 0.6943  8 Nd 3.38-3.49, 2 Tb 3.46, 2 In 3.69

Results
Crystal system   orthorhombic
Space-group type   Immm, No. 71

=====

No. 13
A relaxed VGeAsBr crystal. Source: the Alexandria database, functional GGA-PBE.

Unit cell a=8.3053 b=3.4675 c=5.9715 alpha=90.00 beta=90.42 gamma=90.00
With the nearest neighbours (Å) after each atom.
Positions (direct):
As1 0.7905 0.0000 0.6225  3 V 2.51, 3 Ge 2.62-2.63
As2 0.7905 0.5000 0.1225  3 V 2.51, 3 Ge 2.62-2.63
Ge1 0.9950 0.0000 0.2887  3 As 2.62-2.63
Ge2 0.9950 0.5000 0.7887  3 As 2.62-2.63
Br1 0.4050 0.0000 0.6179  3 V 2.60-2.61
Br2 0.4050 0.5000 0.1179  3 V 2.60-2.61
V1 0.6065 0.0000 0.2865  3 As 2.51, 3 Br 2.60-2.61
V2 0.6065 0.5000 0.7865  3 As 2.51, 3 Br 2.60-2.61

Results
Crystal system   monoclinic
E above lowest polymorph   77 meV per atom
Formation energy from raw total energies   -0.5 eV per formula unit
Space-group type   Cm, No. 8

=====

No. 14
A relaxed CuTePSe2 crystal. Source: the Alexandria database, functional GGA-PBE.

Unit cell a=4.8889 b=4.4354 c=4.8889 alpha=90.00 beta=90.00 gamma=90.00
With the nearest neighbours (Å) after each atom.
Positions (direct):
P1 0.0000 0.5000 0.0000  2 Cu 2.22
Te1 0.5000 0.5000 0.5000  8 Se 3.30, 4 P 3.46
Cu1 0.0000 0.0000 0.0000  2 P 2.22, 4 Se 2.44
Se1 0.0000 0.0000 0.5000  2 Cu 2.44
Se2 0.5000 0.0000 0.0000  2 Cu 2.44

Results
Crystal system   tetragonal
Formation energy from raw total energies   2.7 eV per formula unit
Space-group type   P4/mmm, No. 123

=====

No. 15
A relaxed V4SiH2 crystal. Source: the Alexandria database, functional GGA-PBE.

Unit cell a=3.1567 b=4.9759 c=9.5554 alpha=90.00 beta=90.00 gamma=108.49
With the nearest neighbours (Å) after each atom.
Positions (direct):
V1 0.7940 0.5879 0.0971  1 H 1.78
V2 0.7940 0.5879 0.4029  1 H 1.78
V3 0.2060 0.4121 0.9029  1 H 1.78
V4 0.2060 0.4121 0.5971  1 H 1.78
V5 0.8826 0.7653 0.7500  2 H 1.84
V6 0.1174 0.2347 0.2500  2 H 1.84
V7 0.5000 0.0000 0.0000  4 H 1.92
V8 0.5000 0.0000 0.5000  4 H 1.92
Si1 0.5900 0.1799 0.7500  8 V 2.41-2.54
Si2 0.4100 0.8201 0.2500  8 V 2.41-2.54
H1 0.1004 0.2008 0.4422  4 V 1.78-1.92
H2 0.8996 0.7992 0.9422  4 V 1.78-1.92
H3 0.1004 0.2008 0.0578  4 V 1.78-1.92
H4 0.8996 0.7992 0.5578  4 V 1.78-1.92

Results
Crystal system   orthorhombic
E above lowest polymorph   0 meV per atom
Space-group type   Cmcm, No. 63

=====

No. 16
A relaxed La7Sm3Y2 crystal. Source: the Alexandria database, functional GGA-PBE.

Unit cell a=3.6410 b=6.0114 c=20.0387 alpha=103.70 beta=90.00 gamma=90.00
With the nearest neighbours (Å) after each atom.
Positions (direct):
La1 0.5000 0.7238 0.4672  4 La 3.26-3.64, 1 Y 3.29
La2 0.5000 0.2762 0.5328  4 La 3.26-3.64, 1 Y 3.29
La3 0.0000 0.4705 0.1457  2 Y 3.48, 2 Sm 3.48, 7 La 3.55-3.64
La4 0.0000 0.0000 0.0000  4 Sm 3.51, 4 La 3.55-3.64
La5 0.0000 0.5295 0.8543  2 Y 3.48, 2 Sm 3.48, 7 La 3.55-3.64
La6 0.5000 0.9944 0.8164  6 La 3.56-3.64, 2 Y 3.71-3.77, 2 Sm 3.97
La7 0.5000 0.0056 0.1836  6 La 3.56-3.64, 2 Y 3.71-3.77, 2 Sm 3.97
Sm1 0.5000 0.5000 0.0000  8 La 3.48-3.51, 2 Sm 3.64
Sm2 0.0000 0.1451 0.3646  2 Sm 3.64, 4 Y 3.73-3.76, 8 La 3.75-4.05
Sm3 0.0000 0.8549 0.6354  2 Sm 3.64, 4 Y 3.73-3.76, 8 La 3.75-4.05
Y1 0.5000 0.5894 0.2980  3 La 3.29-3.48, 2 Y 3.64
Y2 0.5000 0.4106 0.7020  3 La 3.29-3.48, 2 Y 3.64

Results
Crystal system   monoclinic
E above lowest polymorph   24 meV per atom
Space-group type   P2/m, No. 10

=====

No. 17
A relaxed La3Sm2Zn2 crystal. Source: the Alexandria database, functional GGA-PBE.

Unit cell a=3.7437 b=3.6806 c=15.5793 alpha=90.00 beta=96.90 gamma=90.00
With the nearest neighbours (Å) after each atom.
Positions (direct):
La1 0.4127 0.5000 0.8255  4 Zn 3.24, 1 Sm 3.55
La2 0.5873 0.5000 0.1745  4 Zn 3.24, 1 Sm 3.55
La3 0.0000 0.0000 0.0000  12 La 3.68-3.77
Sm1 0.2981 0.5000 0.5963  4 Zn 3.10
Sm2 0.7019 0.5000 0.4037  4 Zn 3.10
Zn1 0.1484 0.0000 0.2968  4 Sm 3.10, 4 La 3.24
Zn2 0.8516 0.0000 0.7032  4 Sm 3.10, 4 La 3.24

Results
Crystal system   orthorhombic
Space-group type   Cmmm, No. 65

=====

No. 18
A relaxed CdSi crystal. Source: the Alexandria database, functional GGA-PBE.

Unit cell a=6.9431 b=6.9431 c=4.6053 alpha=90.00 beta=90.00 gamma=90.00
With the nearest neighbours (Å) after each atom.
Positions (direct):
Cd1 0.2369 0.2369 0.0000  4 Si 2.59-2.82
Cd2 0.7369 0.2631 0.5000  4 Si 2.59-2.82
Cd3 0.2631 0.7369 0.5000  4 Si 2.59-2.82
Cd4 0.7631 0.7631 0.0000  4 Si 2.59-2.82
Si1 0.3836 0.6164 0.0000  1 Si 2.29
Si2 0.8836 0.8836 0.5000  1 Si 2.29
Si3 0.1164 0.1164 0.5000  1 Si 2.29
Si4 0.6164 0.3836 0.0000  1 Si 2.29

Results
Crystal system   tetragonal
Formation energy from raw total energies   0.9 eV per formula unit
Space-group type   P4_2/mnm, No. 136

=====

No. 19
A relaxed Ca2RhSe crystal. Source: the Alexandria database, functional GGA-PBE.

Unit cell a=4.9422 b=4.9422 c=4.9422 alpha=60.00 beta=60.00 gamma=60.00
With the nearest neighbours (Å) after each atom.
Positions (direct):
Ca1 0.0000 0.0000 0.0000  4 Se 3.03, 4 Ca 3.03
Ca2 0.2500 0.2500 0.2500  4 Ca 3.03, 4 Rh 3.03
Rh1 0.5000 0.5000 0.5000  4 Ca 3.03, 4 Se 3.03
Se1 0.7500 0.7500 0.7500  4 Ca 3.03, 4 Rh 3.03

Results
Crystal system   cubic
Formation energy from raw total energies   -1.7 eV per formula unit
Space-group type   F-43m, No. 216

=====

No. 20
A relaxed ErAl4Ag crystal. Source: the Alexandria database, functional GGA-PBE.

Unit cell a=5.1945 b=4.6081 c=10.1290 alpha=103.14 beta=104.96 gamma=90.00
With the nearest neighbours (Å) after each atom.
Positions (direct):
Er1 0.7674 0.7503 0.0007  8 Al 3.03-3.25, 2 Er 3.34
Er2 0.2326 0.2497 0.9993  8 Al 3.03-3.25, 2 Er 3.34
Al1 0.5819 0.1484 0.7960  6 Al 2.73-2.98, 1 Ag 2.84, 3 Er 3.04-3.05
Al2 0.7827 0.3520 0.2043  6 Al 2.74-2.98, 1 Ag 2.83, 3 Er 3.03-3.04
Al3 0.4181 0.8516 0.2040  6 Al 2.73-2.98, 1 Ag 2.84, 3 Er 3.04-3.05
Al4 0.2172 0.6480 0.7957  6 Al 2.74-2.98, 1 Ag 2.83, 3 Er 3.03-3.04
Al5 0.0145 0.0791 0.6584  3 Ag 2.71-2.77, 6 Al 2.74-2.99
Al6 0.3514 0.4198 0.3400  3 Ag 2.71-2.78, 6 Al 2.73-2.99
Al7 0.9855 0.9209 0.3416  3 Ag 2.71-2.77, 6 Al 2.74-2.99
Al8 0.6486 0.5802 0.6600  3 Ag 2.71-2.78, 6 Al 2.73-2.99
Ag1 0.5000 0.0000 0.5000  8 Al 2.71-2.84
Ag2 0.0000 0.5000 0.5000  8 Al 2.71-2.83

Results
Crystal system   monoclinic
E above lowest polymorph   14 meV per atom
Space-group type   C2/m, No. 12

=====

| no. | DFT total energy (eV per cell) |
| --- | --- |
| 1 | -12.2 |
| 2 | -10.4 |
| 3 | -26.5 |
| 4 | -30.0 |
| 5 | -12.9 |
| 6 | -146.3 |
| 7 | -20.1 |
| 8 | -93.7 |
| 9 | -14.6 |
| 10 | -36.2 |
| 11 | -24.0 |
| 12 | -51.7 |
| 13 | -41.1 |
| 14 | -16.9 |
| 15 | -101.1 |
| 16 | -60.5 |
| 17 | -27.6 |
| 18 | -21.8 |
| 19 | -16.5 |
| 20 | -46.5 |